1.
A relaxed ZrScBi2 crystal. Source: the Alexandria database, functional GGA-PBE.

space group = No. 166
polymorph energy (0 for the lowest one) = 0.0 meV per atom
DFT total energy = -6.0858 eV per atom
mass density = 8475 kg/m³
DOS at the Fermi energy = 0.543 states/eV per atom

Cell: 4.2189 4.2189 21.1303 Å, 90.00 90.00 120.00°
With the nearest neighbours (Å) after each atom.
Atoms (fractional coordinates):
Zr  0.0000  0.0000  0.0000  6 Bi 3.02
Zr  0.3333  0.6667  0.6667  6 Bi 3.02
Zr  0.6667  0.3333  0.3333  6 Bi 3.02
Sc  0.0000  0.0000  0.5000  6 Bi 2.99
Sc  0.3333  0.6667  0.1667  6 Bi 2.99
Sc  0.6667  0.3333  0.8333  6 Bi 2.99
Bi  0.0000  0.0000  0.2489  3 Sc 2.99, 3 Zr 3.02
Bi  0.0000  0.0000  0.7511  3 Sc 2.99, 3 Zr 3.02
Bi  0.3333  0.6667  0.4178  3 Sc 2.99, 3 Zr 3.02
Bi  0.3333  0.6667  0.9155  3 Sc 2.99, 3 Zr 3.02
Bi  0.6667  0.3333  0.0845  3 Sc 2.99, 3 Zr 3.02
Bi  0.6667  0.3333  0.5822  3 Sc 2.99, 3 Zr 3.02



2.
A relaxed Zr2ScBi crystal. Source: the Alexandria database, functional GGA-PBE.

space group = No. 122
DFT total energy = -6.6221 eV per atom
mass density = 7041 kg/m³
DOS at the Fermi energy = 0.888 states/eV per atom

Cell: 8.3184 8.3184 5.9493 Å, 90.00 90.00 90.00°
With the nearest neighbours (Å) after each atom.
Atoms (fractional coordinates):
Zr  0.2330  0.7500  0.1250  2 Bi 2.94, 2 Zr 2.99, 2 Sc 3.13
Zr  0.2500  0.2330  0.8750  2 Bi 2.94, 2 Zr 2.99, 2 Sc 3.13
Zr  0.2500  0.2670  0.3750  2 Bi 2.94, 2 Zr 2.99, 2 Sc 3.13
Zr  0.2670  0.7500  0.6250  2 Bi 2.94, 2 Zr 2.99, 2 Sc 3.13
Zr  0.7330  0.2500  0.6250  2 Bi 2.94, 2 Zr 2.99, 2 Sc 3.13
Zr  0.7500  0.7330  0.3750  2 Bi 2.94, 2 Zr 2.99, 2 Sc 3.13
Zr  0.7500  0.7670  0.8750  2 Bi 2.94, 2 Zr 2.99, 2 Sc 3.13
Zr  0.7670  0.2500  0.1250  2 Bi 2.94, 2 Zr 2.99, 2 Sc 3.13
Sc  0.0000  0.0000  0.5000  2 Bi 2.97, 4 Zr 3.13
Sc  0.0000  0.5000  0.7500  2 Bi 2.97, 4 Zr 3.13
Sc  0.5000  0.0000  0.2500  2 Bi 2.97, 4 Zr 3.13
Sc  0.5000  0.5000  0.0000  2 Bi 2.97, 4 Zr 3.13
Bi  0.0000  0.0000  0.0000  4 Zr 2.94, 2 Sc 2.97
Bi  0.0000  0.5000  0.2500  4 Zr 2.94, 2 Sc 2.97
Bi  0.5000  0.0000  0.7500  4 Zr 2.94, 2 Sc 2.97
Bi  0.5000  0.5000  0.5000  4 Zr 2.94, 2 Sc 2.97



3.
A relaxed ZrScBi2 crystal. Source: the Alexandria database, functional GGA-PBE.

space group = No. 123
polymorph energy (0 for the lowest one) = 121.8 meV per atom
DFT total energy = -5.9641 eV per atom
mass density = 9123 kg/m³
DOS at the Fermi energy = 1.106 states/eV per atom

Cell: 3.6288 3.6288 7.6593 Å, 90.00 90.00 90.00°
With the nearest neighbours (Å) after each atom.
Atoms (fractional coordinates):
Zr  0.0000  0.0000  0.0000  8 Bi 3.18
Sc  0.0000  0.0000  0.5000  8 Bi 3.23
Bi  0.5000  0.5000  0.2445  4 Zr 3.18, 4 Sc 3.23
Bi  0.5000  0.5000  0.7555  4 Zr 3.18, 4 Sc 3.23



4.
A relaxed ZrSc3Bi2 crystal. Source: the Alexandria database, functional GGA-PBE.

space group = No. 115
DFT total energy = -6.3893 eV per atom
mass density = 7201 kg/m³
DOS at the Fermi energy = 0.869 states/eV per atom

Cell: 4.3275 4.3275 7.9308 Å, 90.00 90.00 90.00°
With the nearest neighbours (Å) after each atom.
Atoms (fractional coordinates):
Zr  0.0000  0.0000  0.0000  8 Sc 3.06-3.41, 4 Bi 3.14
Sc  0.0000  0.5000  0.3318  5 Bi 3.03-3.08
Sc  0.5000  0.0000  0.6682  5 Bi 3.03-3.08
Sc  0.5000  0.5000  0.0000  4 Zr 3.06, 4 Bi 3.14, 4 Sc 3.41
Bi  0.0000  0.5000  0.7137  7 Sc 3.03-3.14, 2 Zr 3.14
Bi  0.5000  0.0000  0.2863  7 Sc 3.03-3.14, 2 Zr 3.14



Total magnetic moment (Bohr magnetons per cell)
0.00; 0.00; 0.78; 0.00